Density functional theory data (PBE-GGA) for a relaxed LiTbSe2 crystal.

## Properties
- M_tot (μB per cell) = 0.0
- formation energy without anion corrections (meV/atom) = -1615
- crystal system = tetragonal

Cell: 4.102 4.102 5.600 Å, 90.00 90.00 90.00°
Sites, in units of the cell vectors:
1 Tb 0.500 0.500 0.500
2 Se 0.000 0.000 0.500
3 Se 0.500 0.500 0.000
4 Li 0.000 0.000 0.000


Density functional theory data (PBE-GGA) for a relaxed LiTb6Se8 crystal.

## Properties
- M_tot (μB per cell) = 0.0
- formation energy without anion corrections (meV/atom) = -1804
- crystal system = cubic

Cell: 8.140 8.140 8.140 Å, 60.00 60.00 60.00°
Sites, in units of the cell vectors:
1 Li 0.000 0.000 0.000
2 Tb 0.000 0.500 0.500
3 Tb 0.500 0.000 0.000
4 Tb 0.500 0.500 0.000
5 Tb 0.000 0.000 0.500
6 Tb 0.000 0.500 0.000
7 Tb 0.500 0.000 0.500
8 Se 0.750 0.750 0.750
9 Se 0.250 0.250 0.250
10 Se 0.753 0.247 0.247
11 Se 0.247 0.753 0.753
12 Se 0.247 0.247 0.753
13 Se 0.753 0.753 0.247
14 Se 0.753 0.247 0.753
15 Se 0.247 0.753 0.247


Density functional theory data (PBE-GGA) for a relaxed LiTb3Se4 crystal.

## Properties
- M_tot (μB per cell) = 0.0
- formation energy without anion corrections (meV/atom) = -1767
- crystal system = cubic

Cell: 5.757 5.757 5.757 Å, 90.00 90.00 90.00°
Sites, in units of the cell vectors:
1 Tb 0.000 0.500 0.500
2 Tb 0.500 0.000 0.500
3 Tb 0.500 0.500 0.000
4 Se 0.500 0.000 0.000
5 Se 0.000 0.500 0.000
6 Se 0.000 0.000 0.500
7 Se 0.500 0.500 0.500
8 Li 0.000 0.000 0.000


Density functional theory data (PBE-GGA) for a relaxed LiTbSe2 crystal.

## Properties
- M_tot (μB per cell) = 0.0
- formation energy without anion corrections (meV/atom) = -1642
- crystal system = trigonal

Cell: 4.058 4.058 7.293 Å, 73.85 73.85 60.00°
Sites, in units of the cell vectors:
1 Li 0.492 0.492 0.523
2 Tb 0.668 0.668 0.995
3 Se 0.084 0.084 0.749
4 Se 0.256 0.256 0.233


Look up the formation energy without anion corrections of the first one. -1615 meV/atom